# 1
A relaxed HgPbNO2 crystal, computed with PBE-GGA.

Cell: 4.4012 4.4012 4.2837 Å, 90.00 90.00 90.00°
Site moments in Bohr magnetons follow the coordinates.
Fractional coordinates of all 5 atoms:
1 Hg 0.0000 0.0000 0.0000  0.09
2 Pb 0.5000 0.5000 0.5000  -0.01
3 O 0.0000 0.5000 0.0000  0.15
4 O 0.5000 0.0000 0.0000  0.15
5 N 0.0000 0.0000 0.5000  0.90

Output
* density of states at the Fermi level: 2.62 states/eV per cell
* symmetry: P4/mmm, No. 123
* formation energy from raw total energies: 3.3 eV/f.u.
* crystal system: tetragonal

***

# 2
A relaxed ThAl6Cu3 crystal, computed with PBE-GGA.

Cell: 4.0606 9.0556 9.7489 Å, 98.02 90.00 90.00°
Fractional coordinates of all 20 atoms:
1 Al 0.2500 0.2071 0.6710
2 Al 0.7500 0.0999 0.4686
3 Al 0.7500 0.7862 0.0572
4 Al 0.2500 0.9001 0.5314
5 Al 0.2500 0.2138 0.9428
6 Al 0.2500 0.5852 0.4306
7 Al 0.7500 0.4990 0.0961
8 Al 0.7500 0.7929 0.3290
9 Al 0.2500 0.3673 0.2120
10 Al 0.7500 0.6327 0.7880
11 Al 0.2500 0.5010 0.9039
12 Al 0.7500 0.4148 0.5694
13 Cu 0.7500 0.3470 0.8273
14 Cu 0.7500 0.2271 0.0839
15 Cu 0.7500 0.7053 0.5553
16 Cu 0.2500 0.2947 0.4447
17 Cu 0.2500 0.6530 0.1727
18 Cu 0.2500 0.7729 0.9161
19 Th 0.7500 0.9803 0.8026
20 Th 0.2500 0.0197 0.1974

Output
* density of states at the Fermi level: 8.71 states/eV per cell
* symmetry: P2_1/m, No. 11
* formation energy: -0.1643 eV per atom
* crystal system: monoclinic

***

What total energy values result from the calculations? In sequence: -3.781 -4.381 eV/atom.
What total magnetic moment values result from the calculations? In sequence: 1.7 0.0 μB/f.u..